[1]
GGA-PBE Tm2BeGaNi6, relaxed; volume = 149.2 Å³/f.u.; symmetry = Fm-3m, No. 225; formation energy = -0.1676 eV/atom
1.0
0.0000 4.2096 4.2096
4.2096 0.0000 4.2096
4.2096 4.2096 0.0000
Tm Be Ga Ni
2 1 1 6
direct
0.2500 0.2500 0.2500 Tm
0.7500 0.7500 0.7500 Tm
0.0000 0.0000 0.0000 Be
0.5000 0.5000 0.5000 Ga
0.2331 0.2331 0.7669 Ni
0.2331 0.7669 0.2331 Ni
0.2331 0.7669 0.7669 Ni
0.7669 0.2331 0.2331 Ni
0.7669 0.2331 0.7669 Ni
0.7669 0.7669 0.2331 Ni

[2]
GGA-PBE Tm2Be2GaNi5, relaxed; volume = 132.7 Å³/f.u.; symmetry = P4/mbm, No. 127; formation energy = -0.4502 eV/atom
1.0
8.9617 0.0000 0.0000
0.0000 8.9617 0.0000
0.0000 0.0000 3.3045
Tm Be Ga Ni
4 4 2 10
direct
0.1811 0.3189 0.0000 Tm
0.3189 0.8189 0.0000 Tm
0.6811 0.1811 0.0000 Tm
0.8189 0.6811 0.0000 Tm
0.1128 0.6128 0.0000 Be
0.3872 0.1128 0.0000 Be
0.6128 0.8872 0.0000 Be
0.8872 0.3872 0.0000 Be
0.0000 0.0000 0.0000 Ga
0.5000 0.5000 0.0000 Ga
0.0000 0.5000 0.5000 Ni
0.0644 0.7809 0.5000 Ni
0.2191 0.0644 0.5000 Ni
0.2809 0.5644 0.5000 Ni
0.4356 0.2809 0.5000 Ni
0.5000 0.0000 0.5000 Ni
0.5644 0.7191 0.5000 Ni
0.7191 0.4356 0.5000 Ni
0.7809 0.9356 0.5000 Ni
0.9356 0.2191 0.5000 Ni

[3]
GGA-PBE Tm2BeGa3Ni4, relaxed; volume = 153.6 Å³/f.u.; symmetry = P-4m2, No. 115; formation energy = -0.4927 eV/atom
1.0
3.8073 0.0000 0.0000
0.0000 3.8073 0.0000
0.0000 0.0000 10.5968
Tm Be Ga Ni
2 1 3 4
direct
0.0000 0.5000 0.2337 Tm
0.5000 0.0000 0.7663 Tm
0.5000 0.5000 0.0000 Be
0.0000 0.0000 0.0000 Ga
0.0000 0.5000 0.6374 Ga
0.5000 0.0000 0.3626 Ga
0.0000 0.0000 0.5000 Ni
0.0000 0.5000 0.8652 Ni
0.5000 0.0000 0.1348 Ni
0.5000 0.5000 0.5000 Ni

- The lowest volume belongs to which entry?
  Tm2Be2GaNi5

- Among the records above, which one has the highest volume?
  Tm2BeGa3Ni4

- Number 2 is which compound?
  Tm2Be2GaNi5

Copy entry 2 word for word.
GGA-PBE Tm2Be2GaNi5, relaxed; volume = 132.7 Å³/f.u.; symmetry = P4/mbm, No. 127; formation energy = -0.4502 eV/atom
1.0
8.9617 0.0000 0.0000
0.0000 8.9617 0.0000
0.0000 0.0000 3.3045
Tm Be Ga Ni
4 4 2 10
direct
0.1811 0.3189 0.0000 Tm
0.3189 0.8189 0.0000 Tm
0.6811 0.1811 0.0000 Tm
0.8189 0.6811 0.0000 Tm
0.1128 0.6128 0.0000 Be
0.3872 0.1128 0.0000 Be
0.6128 0.8872 0.0000 Be
0.8872 0.3872 0.0000 Be
0.0000 0.0000 0.0000 Ga
0.5000 0.5000 0.0000 Ga
0.0000 0.5000 0.5000 Ni
0.0644 0.7809 0.5000 Ni
0.2191 0.0644 0.5000 Ni
0.2809 0.5644 0.5000 Ni
0.4356 0.2809 0.5000 Ni
0.5000 0.0000 0.5000 Ni
0.5644 0.7191 0.5000 Ni
0.7191 0.4356 0.5000 Ni
0.7809 0.9356 0.5000 Ni
0.9356 0.2191 0.5000 Ni